Compound: SrLiNiSb2
Source: Alexandria via LeMat-Bulk
Functional: PBE
Structure: relaxed

Summary:
Total energy in eV for the cell shown: -20.68
Size of the total moment in Bohr magnetons per cell: 0.000

abc: 6.466 6.466 6.466
angles: 139.31 139.31 58.90
Positions (direct):
Sr1 0.000 0.000 0.000
Li1 0.750 0.250 0.500
Ni1 0.250 0.750 0.500
Sb1 0.368 0.368 0.000
Sb2 0.632 0.632 0.000